[1]
5
Lattice="-4.420 -3.910 3.267 4.164 -0.280 5.299 -2.936 5.489 2.597" Properties=species:S:1:pos:R:3 comment="Ba3NaI (PBE, relaxed)" dos_ef_per_ev_atom=1.43 total_magnetization_mub_per_cell=2.4 relative_energy_kj_per_mol_atoms=0.0 pbc="T T T"
I 0.000 0.000 0.000
Na -1.596 0.650 5.582
Ba 2.082 -0.140 2.649
Ba -1.468 2.745 1.299
Ba -2.210 -1.955 1.634

=====

[2]
10
Lattice="-6.921 2.459 4.656 -5.255 -3.701 -5.857 -5.858 -5.909 2.534" Properties=species:S:1:pos:R:3 comment="Cs2SrMnI6 (PBE, relaxed)" dos_ef_per_ev_atom=0.00 total_magnetization_mub_per_cell=5.0 relative_energy_kj_per_mol_atoms=2.0 pbc="T T T"
Cs -9.434 -2.035 3.295
Cs -8.601 -5.115 -1.962
I -5.980 -3.120 0.881
I -12.055 -4.031 0.452
I -3.212 -0.328 -0.317
I -8.965 -0.914 -0.885
I -6.482 0.834 1.883
I -5.695 -2.076 -3.084
Mn -6.088 -0.621 -0.601
Sr 0.000 0.000 0.000

=====

no.,VASP energy (eV per atom),volume (Å³/cell)
1,-2.024,307
2,-3.428,465